A plane-wave DFT calculation with PBE was carried out for a relaxed structure of Pm4PPb2.

Lattice parameters (Å, degrees): 5.2980 5.2980 16.6062 90.00 90.00 90.00
With the nearest neighbours (Å) after each atom.
Space group I4/mmm (No. 139)
One atom of each set of equivalent atoms:
Pm 0.0000 0.0000 0.1692  1 P 2.81
Pm 0.0000 0.5000 0.0000  2 P 2.65
P 0.0000 0.0000 0.0000  6 Pm 2.65-2.81
Pb 0.0000 0.0000 0.3642  5 Pm 3.24-3.48

Computed properties:
Calculated total energy = -5.2034 eV per atom
Formation energy = -656 meV per atom
Polymorph energy (0 for the lowest one) = 0.0000 eV per atom
DOS at the Fermi energy = 8.546 states/eV/cell
Calculated volume = 33.3 Å³ per atom